[1]
Density functional theory data (PBE) for an optimized crystal structure of Tl2Pd8Au3.

Values from the calculation:
E = -4.32 eV/atom
Energy of formation from the pure elements = 0 kJ per mole of atoms
Magnetization = 0.00 μB per formula unit

```
data_Tl2Pd8Au3
_symmetry_space_group_name_H-M 'C 1 2/m 1'
_symmetry_Int_Tables_number 12
_symmetry_space_group_name_Hall '-C 2y'
_cell_length_a 13.038
_cell_length_b 7.631
_cell_length_c 4.750
_cell_angle_alpha 90.00
_cell_angle_beta 96.65
_cell_angle_gamma 90.00
loop_
_atom_site_label
_atom_site_type_symbol
_atom_site_fract_x
_atom_site_fract_y
_atom_site_fract_z
_atom_site_occupancy
Tl1 Tl 0.160 0.000 0.282 1
Pd1 Pd 0.056 0.000 0.760 1
Pd2 Pd 0.172 0.290 0.691 1
Pd3 Pd 0.190 0.500 0.193 1
Au1 Au 0.000 0.310 0.000 1
Au2 Au 0.000 0.500 0.500 1
```

***

[2]
Density functional theory data (PBE) for an optimized crystal structure of BaTl2Si.

Values from the calculation:
E = -3.00 eV/atom
Formation energy (no corrections) = 0.024 eV per atom
Magnetization = 0.00 μB per formula unit
ΔE to the lowest computed polymorph = 0.1402 eV/atom

```
data_BaTl2Si
_symmetry_space_group_name_H-M 'P 4/m m m'
_symmetry_Int_Tables_number 123
_symmetry_space_group_name_Hall '-P 4 2'
_cell_length_a 3.913
_cell_length_b 3.913
_cell_length_c 7.715
_cell_angle_alpha 90.00
_cell_angle_beta 90.00
_cell_angle_gamma 90.00
loop_
_atom_site_label
_atom_site_type_symbol
_atom_site_fract_x
_atom_site_fract_y
_atom_site_fract_z
_atom_site_occupancy
Ba1 Ba 0.000 0.000 0.000 1
Tl1 Tl 0.500 0.500 0.303 1
Si1 Si 0.000 0.000 0.500 1
```

***

[3]
Density functional theory data (PBE) for an optimized crystal structure of HgCS.

Values from the calculation:
E = -4.10 eV/atom
Formation energy (no corrections) = 0.451 eV per atom
Magnetization = 0.00 μB per formula unit
ΔE to the lowest computed polymorph = 0.0000 eV/atom

```
data_HgCS
_symmetry_space_group_name_H-M 'P -1'
_symmetry_Int_Tables_number 2
_symmetry_space_group_name_Hall '-P 1'
_cell_length_a 3.260
_cell_length_b 3.333
_cell_length_c 13.820
_cell_angle_alpha 96.83
_cell_angle_beta 96.30
_cell_angle_gamma 90.02
loop_
_atom_site_label
_atom_site_type_symbol
_atom_site_fract_x
_atom_site_fract_y
_atom_site_fract_z
_atom_site_occupancy
Hg1 Hg 0.197 0.196 0.393 1
C1 C 0.479 0.477 0.953 1
S1 S 0.425 0.420 0.838 1
```

***

[4]
Density functional theory data (PBE) for an optimized crystal structure of Sr2ZnCoN.

Values from the calculation:
E = -4.37 eV/atom
Formation energy (no corrections) = -0.357 eV per atom
Magnetization = 0.00 μB per formula unit

```
data_Sr2ZnCoN
_symmetry_space_group_name_H-M 'P 4/m m m'
_symmetry_Int_Tables_number 123
_symmetry_space_group_name_Hall '-P 4 2'
_cell_length_a 5.442
_cell_length_b 5.442
_cell_length_c 3.573
_cell_angle_alpha 90.00
_cell_angle_beta 90.00
_cell_angle_gamma 90.00
loop_
_atom_site_label
_atom_site_type_symbol
_atom_site_fract_x
_atom_site_fract_y
_atom_site_fract_z
_atom_site_occupancy
Sr1 Sr 0.000 0.500 0.000 1
Zn1 Zn 0.000 0.000 0.500 1
Co1 Co 0.500 0.500 0.500 1
N1 N 0.500 0.500 0.000 1
```

***

[5]
Density functional theory data (PBE) for an optimized crystal structure of LaDy2HoEr5.

Values from the calculation:
E = -4.33 eV/atom
Energy of formation from the pure elements = 28 kJ per mole of atoms
Magnetization = 0.00 μB per formula unit

```
data_LaDy2HoEr5
_symmetry_space_group_name_H-M 'I 4/m c m'
_symmetry_Int_Tables_number 140
_symmetry_space_group_name_Hall '-I 4 2c'
_cell_length_a 8.915
_cell_length_b 8.915
_cell_length_c 14.663
_cell_angle_alpha 90.00
_cell_angle_beta 90.00
_cell_angle_gamma 90.00
loop_
_atom_site_label
_atom_site_type_symbol
_atom_site_fract_x
_atom_site_fract_y
_atom_site_fract_z
_atom_site_occupancy
La1 La 0.000 0.000 0.250 1
Dy1 Dy 0.113 0.387 0.000 1
Ho1 Ho 0.000 0.500 0.250 1
Er1 Er 0.000 0.000 0.000 1
Er2 Er 0.205 0.295 0.369 1
```

***

[6]
Density functional theory data (PBE) for an optimized crystal structure of Li2LaP2.

Values from the calculation:
E = -4.87 eV/atom
Energy of formation from the pure elements = -92 kJ per mole of atoms
Magnetization = 0.00 μB per formula unit

```
data_Li2LaP2
_symmetry_space_group_name_H-M 'C m m e'
_symmetry_Int_Tables_number 67
_symmetry_space_group_name_Hall '-C 2a 2'
_cell_length_a 5.931
_cell_length_b 6.053
_cell_length_c 9.977
_cell_angle_alpha 90.00
_cell_angle_beta 90.00
_cell_angle_gamma 90.00
loop_
_atom_site_label
_atom_site_type_symbol
_atom_site_fract_x
_atom_site_fract_y
_atom_site_fract_z
_atom_site_occupancy
Li1 Li 0.000 0.250 0.114 1
Li2 Li 0.250 0.000 0.500 1
La1 La 0.000 0.250 0.768 1
P1 P 0.000 0.250 0.352 1
P2 P 0.250 0.000 0.000 1
```

***

Which value of E does entry 6 give? -4.87 eV/atom

***

Number 3 is which compound? HgCS